Run w
Density functional theory data (PBE) for a relaxed structure of Ti4SnPt.

Structure (extended XYZ):
```
12
Lattice="6.8712 -2.4820 0.0000 6.8712 2.4820 0.0000 -1.5110 0.0000 6.7255" Properties=species:S:1:pos:R:3 pbc="T T T"
Ti 5.0464 1.8143 3.8241
Ti 3.1931 0.8483 5.8830
Ti 6.4294 1.8143 6.2642
Ti 3.9486 -0.8483 2.5202
Ti 8.2828 0.8483 4.2053
Ti 5.8019 -1.8143 0.4614
Ti 9.0383 -0.8483 0.8426
Ti 7.1850 -1.8143 2.9014
Sn 6.4935 0.6392 1.6814
Sn 5.7379 -0.6392 5.0442
Pt 2.6801 1.2410 3.3628
Pt 3.4356 -1.2410 0.0000
```

Properties
D(E_F) ... 6.90 states/eV/f.u.
Magnetic moment ... 0.00 μB/cell

Run x
Density functional theory data (PBE) for a relaxed structure of Ti4SnPt.

Structure (extended XYZ):
```
6
Lattice="4.9678 -1.7013 0.0000 4.9678 1.7013 0.0000 -2.0524 0.0000 6.1258" Properties=species:S:1:pos:R:3 pbc="T T T"
Ti 0.9022 0.0000 2.1401
Ti 0.0223 0.0000 5.0271
Ti 7.8609 0.0000 1.0987
Ti 6.9809 0.0000 3.9857
Sn 4.9678 0.0000 0.0000
Pt 3.9416 0.0000 3.0629
```

Properties
D(E_F) ... 4.80 states/eV/f.u.
Magnetic moment ... 0.00 μB/cell

Most stable: run x

Run w
Density functional theory data (PBE) for a relaxed structure of Ti2Sn2Pt.

Structure (extended XYZ):
```
10
Lattice="6.7466 0.0000 0.0000 0.0000 6.7466 0.0000 0.0000 0.0000 4.3844" Properties=species:S:1:pos:R:3 pbc="T T T"
Ti 0.9831 2.3902 0.0000
Ti 2.3902 5.7634 0.0000
Ti 4.3564 0.9831 0.0000
Ti 5.7634 4.3564 0.0000
Sn 1.1104 4.4837 2.1922
Sn 2.2628 1.1104 2.1922
Sn 4.4837 5.6361 2.1922
Sn 5.6361 2.2628 2.1922
Pt 0.0000 0.0000 0.0000
Pt 3.3733 3.3733 0.0000
```

Properties
D(E_F) ... 4.58 states/eV/f.u.
Magnetic moment ... 0.00 μB/cell

Run x
Density functional theory data (PBE) for a relaxed structure of Ti2Sn2Pt.

Structure (extended XYZ):
```
10
Lattice="6.8872 0.0000 0.0000 0.0000 6.8872 0.0000 0.0000 0.0000 4.1195" Properties=species:S:1:pos:R:3 pbc="T T T"
Ti 1.0821 2.3615 0.0000
Ti 2.3615 5.8051 0.0000
Ti 4.5257 1.0821 0.0000
Ti 5.8051 4.5257 0.0000
Sn 1.0013 4.4449 2.0597
Sn 2.4423 1.0013 2.0597
Sn 4.4449 5.8859 2.0597
Sn 5.8859 2.4423 2.0597
Pt 0.0000 0.0000 2.0597
Pt 3.4436 3.4436 2.0597
```

Properties
D(E_F) ... 6.45 states/eV/f.u.
Magnetic moment ... 0.00 μB/cell

Most stable: run x

Run w
Density functional theory data (PBE) for a relaxed structure of TlSn2Pt.

Structure (extended XYZ):
```
4
Lattice="1.8722 1.0809 9.3770 -1.8722 1.0809 9.3770 0.0000 -2.1618 9.3770" Properties=species:S:1:pos:R:3 pbc="T T T"
Tl 0.0000 0.0000 0.0000
Sn 0.0000 0.0000 3.0454
Sn 0.0000 0.0000 25.0856
Pt 0.0000 0.0000 14.0655
```

Properties
D(E_F) ... 2.69 states/eV/f.u.
Magnetic moment ... 0.00 μB/cell

Run x
Density functional theory data (PBE) for a relaxed structure of TlSn2Pt.

Structure (extended XYZ):
```
4
Lattice="3.3930 0.0000 0.0000 0.0000 3.3930 0.0000 0.0000 0.0000 8.5097" Properties=species:S:1:pos:R:3 pbc="T T T"
Tl 0.0000 0.0000 0.0000
Sn 1.6965 1.6965 2.6253
Sn 1.6965 1.6965 5.8845
Pt 0.0000 0.0000 4.2549
```

Properties
D(E_F) ... 0.81 states/eV/f.u.
Magnetic moment ... 0.00 μB/cell

Run y
Density functional theory data (PBE) for a relaxed structure of TlSn2Pt.

Structure (extended XYZ):
```
8
Lattice="-2.5719 2.5719 8.5896 2.5719 -2.5719 8.5896 2.5719 2.5719 -8.5896" Properties=species:S:1:pos:R:3 pbc="T T T"
Tl 0.0000 0.0000 0.0000
Tl 0.0000 2.5719 4.2948
Sn 1.2859 -0.9065 6.4422
Sn 1.6653 1.2859 2.1474
Sn 1.2859 3.4784 -2.1474
Sn 0.9065 1.2859 10.7371
Pt 2.5719 0.0000 4.2948
Pt 0.0000 0.0000 8.5896
```

Properties
D(E_F) ... 3.72 states/eV/f.u.
Magnetic moment ... 0.00 μB/cell

Run z
Density functional theory data (PBE) for a relaxed structure of TlSn2Pt.

Structure (extended XYZ):
```
4
Lattice="0.0000 3.6011 3.6011 3.6011 0.0000 3.6011 3.6011 3.6011 0.0000" Properties=species:S:1:pos:R:3 pbc="T T T"
Tl 0.0000 0.0000 0.0000
Sn 1.8005 1.8005 1.8005
Sn 5.4016 5.4016 5.4016
Pt 3.6011 3.6011 3.6011
```

Properties
D(E_F) ... 2.52 states/eV/f.u.
Magnetic moment ... 0.00 μB/cell

Most stable: run x

Run w
Density functional theory data (PBE) for a relaxed structure of VSn2Pt.

Structure (extended XYZ):
```
8
Lattice="-3.7608 3.7608 2.9994 3.7608 -3.7608 2.9994 3.7608 3.7608 -2.9994" Properties=species:S:1:pos:R:3 pbc="T T T"
V 0.0000 0.0000 0.0000
V 0.0000 3.7608 1.4997
Sn 1.8804 -1.7396 2.2495
Sn 2.0212 1.8804 0.7498
Sn 1.8804 5.5004 -0.7498
Sn 1.7396 1.8804 3.7492
Pt 3.7608 0.0000 1.4997
Pt 0.0000 0.0000 2.9994
```

Properties
D(E_F) ... 4.56 states/eV/f.u.
Magnetic moment ... 5.04 μB/cell

Run x
Density functional theory data (PBE) for a relaxed structure of VSn2Pt.

Structure (extended XYZ):
```
4
Lattice="0.0000 3.3743 3.3743 3.3743 0.0000 3.3743 3.3743 3.3743 0.0000" Properties=species:S:1:pos:R:3 pbc="T T T"
V 0.0000 0.0000 0.0000
Sn 1.6872 1.6872 1.6872
Sn 5.0615 5.0615 5.0615
Pt 3.3743 3.3743 3.3743
```

Properties
D(E_F) ... 3.86 states/eV/f.u.
Magnetic moment ... 2.85 μB/cell

Run y
Density functional theory data (PBE) for a relaxed structure of VSn2Pt.

Structure (extended XYZ):
```
4
Lattice="1.5341 0.8857 9.6488 -1.5341 0.8857 9.6488 0.0000 -1.7714 9.6488" Properties=species:S:1:pos:R:3 pbc="T T T"
V 0.0000 0.0000 0.0000
Sn 0.0000 0.0000 11.8594
Sn 0.0000 0.0000 17.0870
Pt 0.0000 0.0000 14.4732
```

Properties
D(E_F) ... 3.11 states/eV/f.u.
Magnetic moment ... 0.00 μB/cell

Most stable: run x

Run w
Density functional theory data (PBE) for a relaxed structure of VSn3Pt.

Structure (extended XYZ):
```
5
Lattice="5.2148 0.0000 0.0000 0.0000 5.2148 0.0000 0.0000 0.0000 5.2148" Properties=species:S:1:pos:R:3 pbc="T T T"
V 0.0000 0.0000 0.0000
Sn 0.0000 2.6074 2.6074
Sn 2.6074 0.0000 2.6074
Sn 2.6074 2.6074 0.0000
Pt 2.6074 2.6074 2.6074
```

Properties
D(E_F) ... 7.96 states/eV/f.u.
Magnetic moment ... 3.83 μB/cell

Run x
Density functional theory data (PBE) for a relaxed structure of VSn3Pt.

Structure (extended XYZ):
```
5
Lattice="5.0705 0.0000 0.0000 0.0000 5.0705 0.0000 0.0000 0.0000 5.0705" Properties=species:S:1:pos:R:3 pbc="T T T"
V 0.0000 0.0000 0.0000
Sn 0.0000 0.0000 2.5353
Sn 0.0000 2.5353 0.0000
Sn 2.5353 0.0000 0.0000
Pt 2.5353 2.5353 2.5353
```

Properties
D(E_F) ... 6.16 states/eV/f.u.
Magnetic moment ... 2.11 μB/cell

Most stable: run w

Run w
Density functional theory data (PBE) for a relaxed structure of SnPtW3.

Structure (extended XYZ):
```
5
Lattice="4.8136 0.0000 0.0000 0.0000 4.8136 0.0000 0.0000 0.0000 4.8136" Properties=species:S:1:pos:R:3 pbc="T T T"
Sn 0.0000 0.0000 0.0000
Pt 2.4068 2.4068 2.4068
W 0.0000 0.0000 2.4068
W 0.0000 2.4068 0.0000
W 2.4068 0.0000 0.0000
```

Properties
D(E_F) ... 5.63 states/eV/f.u.
Magnetic moment ... 0.00 μB/cell

Run x
Density functional theory data (PBE) for a relaxed structure of SnPtW3.

Structure (extended XYZ):
```
5
Lattice="4.8186 0.0000 0.0000 0.0000 4.8186 0.0000 0.0000 0.0000 4.8186" Properties=species:S:1:pos:R:3 pbc="T T T"
Sn 0.0000 0.0000 0.0000
Pt 2.4093 2.4093 2.4093
W 0.0000 2.4093 2.4093
W 2.4093 0.0000 2.4093
W 2.4093 2.4093 0.0000
```

Properties
D(E_F) ... 6.50 states/eV/f.u.
Magnetic moment ... 0.00 μB/cell

Most stable: run x

Run w
Density functional theory data (PBE) for a relaxed structure of YSnPt3.

Structure (extended XYZ):
```
5
Lattice="5.1422 0.0000 0.0000 0.0000 5.1422 0.0000 0.0000 0.0000 5.1422" Properties=species:S:1:pos:R:3 pbc="T T T"
Y 0.0000 0.0000 0.0000
Sn 2.5711 2.5711 2.5711
Pt 0.0000 0.0000 2.5711
Pt 0.0000 2.5711 0.0000
Pt 2.5711 0.0000 0.0000
```

Properties
D(E_F) ... 3.27 states/eV/f.u.
Magnetic moment ... 0.00 μB/cell

Run x
Density functional theory data (PBE) for a relaxed structure of YSnPt3.

Structure (extended XYZ):
```
5
Lattice="4.9426 0.0000 0.0000 0.0000 4.9426 0.0000 0.0000 0.0000 4.9426" Properties=species:S:1:pos:R:3 pbc="T T T"
Y 0.0000 0.0000 0.0000
Sn 2.4713 2.4713 2.4713
Pt 0.0000 2.4713 2.4713
Pt 2.4713 0.0000 2.4713
Pt 2.4713 2.4713 0.0000
```

Properties
D(E_F) ... 2.72 states/eV/f.u.
Magnetic moment ... 0.00 μB/cell

Most stable: run x

Run w
Density functional theory data (PBE) for a relaxed structure of ZnSn2Pt2.

Structure (extended XYZ):
```
10
Lattice="7.0644 0.0000 0.0000 0.0000 7.0644 0.0000 0.0000 0.0000 3.9272" Properties=species:S:1:pos:R:3 pbc="T T T"
Zn 0.0000 0.0000 0.0000
Zn 3.5322 3.5322 0.0000
Sn 1.1285 2.4037 1.9636
Sn 2.4037 5.9359 1.9636
Sn 4.6607 1.1285 1.9636
Sn 5.9359 4.6607 1.9636
Pt 1.0463 4.5785 0.0000
Pt 2.4859 1.0463 0.0000
Pt 4.5785 6.0181 0.0000
Pt 6.0181 2.4859 0.0000
```

Properties
D(E_F) ... 2.95 states/eV/f.u.
Magnetic moment ... 0.00 μB/cell

Run x
Density functional theory data (PBE) for a relaxed structure of ZnSn2Pt2.

Structure (extended XYZ):
```
10
Lattice="8.0444 0.0000 0.0000 0.0000 8.0444 0.0000 0.0000 0.0000 3.0931" Properties=species:S:1:pos:R:3 pbc="T T T"
Zn 0.0000 0.0000 0.0000
Zn 4.0222 4.0222 0.0000
Sn 1.3301 2.6921 0.0000
Sn 2.6921 6.7143 0.0000
Sn 5.3523 1.3301 0.0000
Sn 6.7143 5.3523 0.0000
Pt 1.0439 5.0661 1.5466
Pt 2.9783 1.0439 1.5466
Pt 5.0661 7.0005 1.5466
Pt 7.0005 2.9783 1.5466
```

Properties
D(E_F) ... 2.21 states/eV/f.u.
Magnetic moment ... 0.00 μB/cell

Run y
Density functional theory data (PBE) for a relaxed structure of ZnSn2Pt2.

Structure (extended XYZ):
```
5
Lattice="-1.9753 1.9753 7.0379 1.9753 -1.9753 7.0379 1.9753 1.9753 -7.0379" Properties=species:S:1:pos:R:3 pbc="T T T"
Zn 0.0000 0.0000 0.0000
Sn 0.0000 0.0000 5.4123
Sn 0.0000 0.0000 8.6634
Pt 1.9753 0.0000 3.5189
Pt 0.0000 1.9753 3.5189
```

Properties
D(E_F) ... 1.73 states/eV/f.u.
Magnetic moment ... 0.00 μB/cell

Most stable: run w